Compound: Ca3PmY3Te8
Source: the Alexandria database
Functional: GGA-PBE
Structure: optimized geometry

extended XYZ file:
```
15
Lattice="-2.531 8.384 0.702 -2.318 -5.819 6.159 8.505 2.617 -0.591" Properties=species:S:1:pos:R:3 pbc="T T T"
Ca 0.000 0.000 0.000
Ca -1.159 -2.910 3.080
Ca -2.425 1.282 3.431
Pm 4.253 1.309 -0.295
Y 2.987 5.501 0.056
Y 1.828 2.591 3.135
Y 3.094 -1.601 2.784
Te 0.365 -0.152 3.126
Te 3.291 5.334 3.145
Te -0.891 4.050 3.401
Te 4.547 1.132 2.870
Te 0.236 6.878 0.408
Te 3.421 -1.696 5.863
Te 1.466 2.803 0.067
Te 2.190 2.379 6.204
```

Results
Uncorrected formation energy   -1499.6 meV/atom
Magnetic moment   0.0 Bohr magnetons per cell

---

Compound: LiNpScO5
Source: the Alexandria database
Functional: GGA-PBE
Structure: optimized geometry

extended XYZ file:
```
16
Lattice="5.582 -0.078 -0.122 -1.704 5.316 -0.122 -1.744 -2.355 7.143" Properties=species:S:1:pos:R:3 pbc="T T T"
Li 2.878 1.012 1.664
Li -0.744 1.871 5.235
Np -0.872 -1.178 3.571
Np 0.000 0.000 0.000
Sc 0.511 2.765 1.664
Sc 1.624 0.118 5.235
O -1.221 4.047 1.664
O 3.356 -1.164 5.235
O 4.603 1.282 0.958
O -2.469 1.602 5.941
O 3.124 -0.716 2.370
O -0.990 3.599 4.529
O 2.144 2.265 2.915
O -0.010 0.618 3.984
O 1.466 1.349 0.413
O 0.668 1.534 6.486
```

Results
Uncorrected formation energy   -2783.0 meV/atom
Magnetic moment   2.0 Bohr magnetons per cell

---

Compound: Ba4RhSCl2
Source: the Alexandria database
Functional: GGA-PBE
Structure: optimized geometry

extended XYZ file:
```
8
Lattice="-0.060 -4.483 -0.514 1.868 -0.909 7.705 -8.118 0.165 -0.487" Properties=species:S:1:pos:R:3 pbc="T T T"
Ba -1.295 -2.437 1.597
Ba -5.016 -2.790 5.106
Ba -5.799 -0.112 1.654
Ba -0.451 -0.632 5.564
Rh 0.904 -2.696 3.595
S 0.000 0.000 0.000
Cl -4.089 -2.159 -0.501
Cl -3.125 -0.372 3.609
```

Results
Uncorrected formation energy   -1522.2 meV/atom
Magnetic moment   0.0 Bohr magnetons per cell

---

Compound: Al2CdHg
Source: the Alexandria database
Functional: GGA-PBE
Structure: optimized geometry

extended XYZ file:
```
4
Lattice="10.092 -0.017 -0.010 9.632 3.012 -0.010 9.632 1.463 2.633" Properties=species:S:1:pos:R:3 pbc="T T T"
Al 0.013 0.002 0.001
Al 14.665 2.227 1.306
Hg 22.017 3.343 1.960
Cd 7.339 1.114 0.653
```

Results
Formation enthalpy at 0 K   0.14 eV per atom
Magnetic moment   0.0 Bohr magnetons per cell

---

Compound: CsGaSe2N
Source: the Alexandria database
Functional: GGA-PBE
Structure: optimized geometry

extended XYZ file:
```
5
Lattice="6.395 0.000 0.000 0.000 6.395 0.000 0.000 0.000 4.898" Properties=species:S:1:pos:R:3 pbc="T T T"
Cs 0.000 0.000 0.000
Ga 3.198 3.198 2.449
Se 0.000 3.198 0.000
Se 3.198 0.000 0.000
N 0.000 0.000 2.449
```

Results
Uncorrected formation energy   1489.5 meV/atom
Magnetic moment   4.2 Bohr magnetons per cell

---

Compound: Pr8CuP3Cl4
Source: the Alexandria database
Functional: GGA-PBE
Structure: optimized geometry

extended XYZ file:
```
16
Lattice="8.338 0.000 0.000 0.000 8.472 0.087 -4.169 -4.167 5.899" Properties=species:S:1:pos:R:3 pbc="T T T"
Pr -2.068 2.049 5.856
Pr 0.000 4.116 2.929
Pr 0.000 0.214 3.098
Pr 2.068 2.049 5.856
Pr 2.101 2.256 0.130
Pr 4.169 4.091 2.888
Pr 4.169 0.189 3.057
Pr 6.237 2.256 0.130
Cu 0.000 4.236 0.044
P 4.169 4.236 0.044
P 2.084 2.153 2.993
P -2.084 2.153 2.993
Cl 4.169 0.000 0.000
Cl 2.084 -2.083 2.950
Cl 0.000 0.000 0.000
Cl -2.084 -2.083 2.950
```

Results
Uncorrected formation energy   -1385.7 meV/atom
Magnetic moment   0.0 Bohr magnetons per cell

---

Compound: MnCo2Tc
Source: the Alexandria database
Functional: GGA-PBE
Structure: optimized geometry

extended XYZ file:
```
4
Lattice="-2.793 2.617 1.322 -1.774 -1.212 -1.349 -0.838 -2.656 3.486" Properties=species:S:1:pos:R:3 pbc="T T T"
Mn -1.484 -1.948 0.721
Co -1.038 -2.739 3.226
Co -1.861 0.387 1.503
Tc -3.166 -1.541 2.564
```

Results
Formation enthalpy at 0 K   0.01 eV per atom
Magnetic moment   0.0 Bohr magnetons per cell

---

Compound: CeH2I2
Source: the Alexandria database
Functional: GGA-PBE
Structure: optimized geometry

extended XYZ file:
```
10
Lattice="-4.905 -7.086 0.218 0.969 -5.993 -2.549 2.420 -4.081 6.879" Properties=species:S:1:pos:R:3 pbc="T T T"
Ce -0.220 -5.141 -1.625
Ce -3.716 -7.937 -0.706
H -4.356 -7.449 1.259
H -4.201 -6.081 0.198
H 1.716 -5.086 6.898
H 1.871 -3.718 5.837
I -0.515 -10.003 3.912
I -1.001 -7.157 0.635
I 1.948 -6.467 3.795
I -3.463 -10.692 0.752
```

Results
Magnetic moment   0.3 Bohr magnetons per cell
VASP energy   -37.9 eV/cell